## LiLa4W (PBE-GGA)

Data for a relaxed LiLa4W crystal.

Cell and atoms, written as POSCAR:
```
LiLa4W
1.0
-4.9339 -3.7670 -1.3444
-5.9222 2.2614 0.3944
-3.3879 0.9688 -5.2844
La W Li
4 1 1
Direct
0.3730 0.8811 0.3730
0.3730 0.3730 0.8811
0.8811 0.3730 0.3730
0.3730 0.3730 0.3730
0.0000 0.0000 0.0000
0.7500 0.7500 0.7500
```

Properties
**Energy relative to the elements**: 0.995 eV/atom
**Calculated volume**: 181.2 Å³ per cell
**Size of the total moment**: 1.12 μB/f.u.
**Crystal system**: cubic